This record from the Alexandria database describes an optimized crystal structure of MgCd2Te. The functional is PBE.

Results
The calculation puts the total DFT energy (no corrections) at -7.24 eV/cell. The symmetry is No. 65. The density comes out at 5976 kg/m3. For the excess energy over the best structure of this formula in the dataset, the calculation gives 16 kJ/mol of formula units.

a b c (Å): 5.813 4.244 4.244
angles (deg): 88.97 90.00 90.00
Fractional coordinates of all 4 atoms:
Cd: 0.000 0.006 0.006
Cd: 0.000 0.494 0.494
Mg: 0.500 0.250 0.250
Te: 0.500 0.750 0.750